The following is a meta-GGA SCAN calculation of a PBEsol-optimized structure of CaTlAg4, from Alexandria.

Cell and atoms, written as POSCAR:
```
CaTlAg4
1.0
5.531 0.000 0.000
2.766 4.790 0.000
2.766 1.597 4.516
Tl Ca Ag
1 1 4
direct
0.000 0.000 0.000
0.750 0.750 0.750
0.375 0.375 0.375
0.375 0.375 0.875
0.875 0.375 0.375
0.375 0.875 0.375
```

Calculated values
The value obtained for the formation energy is -185 meV/atom. The value obtained for the total magnetic moment is 0.000 μB/f.u.


The following is a meta-GGA SCAN calculation of a PBEsol-optimized structure of Na2CaCl, from Alexandria.

Cell and atoms, written as POSCAR:
```
Na2CaCl
1.0
-4.007 3.688 1.848
-4.494 1.280 -3.352
-5.248 -1.908 1.374
Na Ca Cl
2 1 1
direct
0.250 0.250 0.250
0.750 0.750 0.750
0.500 0.500 0.500
0.000 0.000 0.000
```

Calculated values
As for the uncorrected formation energy: -0.2261 eV/atom. The value obtained for the total magnetic moment is 0.000 μB/f.u.


The following is a meta-GGA SCAN calculation of a PBEsol-optimized structure of ZrSc3Pt, from Alexandria.

Cell and atoms, written as POSCAR:
```
ZrSc3Pt
1.0
4.819 0.000 0.000
0.000 4.819 0.000
0.000 0.000 4.819
Sc Zr Pt
3 1 1
direct
0.000 0.500 0.000
0.000 0.000 0.500
0.500 0.000 0.000
0.000 0.000 0.000
0.500 0.500 0.500
```

Calculated values
The value obtained for the formation energy is 815 meV/atom. The value obtained for the total magnetic moment is 0.000 μB/f.u.


The following is a meta-GGA SCAN calculation of a PBEsol-optimized structure of KPtSe3, from Alexandria.

Cell and atoms, written as POSCAR:
```
KPtSe3
1.0
5.284 0.000 0.000
0.000 5.284 0.000
0.000 0.000 5.284
K Se Pt
1 3 1
direct
0.000 0.000 0.000
0.000 0.500 0.000
0.000 0.000 0.500
0.500 0.000 0.000
0.500 0.500 0.500
```

Calculated values
As for the uncorrected formation energy: 1.7769 eV/atom. The value obtained for the total magnetic moment is 5.078 μB/f.u.


The following is a meta-GGA SCAN calculation of a PBEsol-optimized structure of SrBeSb2I, from Alexandria.

Cell and atoms, written as POSCAR:
```
SrBeSb2I
1.0
6.043 0.000 0.000
0.000 6.123 0.000
0.000 0.000 6.123
I Sb Be Sr
1 2 1 1
direct
0.500 0.000 0.000
0.000 0.000 0.500
0.000 0.500 0.000
0.500 0.500 0.500
0.000 0.000 0.000
```

Calculated values
As for the uncorrected formation energy: 0.9557 eV/atom. The value obtained for the total magnetic moment is 2.032 μB/f.u.


The following is a meta-GGA SCAN calculation of a PBEsol-optimized structure of MnIn2Si, from Alexandria.

Cell and atoms, written as POSCAR:
```
MnIn2Si
1.0
-0.379 -2.418 4.115
2.849 -3.756 0.841
3.466 0.313 3.288
In Mn Si
2 1 1
direct
0.250 0.250 0.250
0.750 0.750 0.750
0.000 0.000 0.000
0.500 0.500 0.500
```

Calculated values
The energy above the most stable polymorph in this dataset comes out at 86 meV per atom. As for the uncorrected formation energy: 0.4242 eV/atom. The value obtained for the total magnetic moment is 4.146 μB/f.u.


The following is a meta-GGA SCAN calculation of a PBEsol-optimized structure of InTc2Rh, from Alexandria.

Cell and atoms, written as POSCAR:
```
InTc2Rh
1.0
-1.640 -1.308 1.866
-1.325 -2.371 -0.714
5.972 -5.959 3.184
In Rh Tc
1 1 2
direct
0.501 0.501 0.497
0.253 0.253 0.240
0.001 0.001 0.997
0.744 0.744 0.767
```

Calculated values
The value obtained for the formation energy is 98 meV/atom. The value obtained for the total magnetic moment is 0.000 μB/f.u.


The following is a meta-GGA SCAN calculation of a PBEsol-optimized structure of SrCIF2, from Alexandria.

Cell and atoms, written as POSCAR:
```
SrCIF2
1.0
-1.667 -4.026 0.615
4.046 -1.713 -0.247
0.774 0.786 7.237
I Sr C F
1 1 1 2
direct
0.000 0.000 0.500
0.000 0.000 0.000
0.500 0.500 0.500
0.000 0.500 0.000
0.500 0.000 0.000
```

Calculated values
As for the uncorrected formation energy: -0.7731 eV/atom. The value obtained for the total magnetic moment is 1.123 μB/f.u.


The following is a meta-GGA SCAN calculation of a PBEsol-optimized structure of TlCoO3, from Alexandria.

Cell and atoms, written as POSCAR:
```
TlCoO3
1.0
-2.418 4.443 0.715
-4.049 0.234 3.106
0.887 2.589 5.162
Tl Co O
2 2 6
direct
0.872 0.872 0.384
0.128 0.128 0.616
0.662 0.662 0.014
0.338 0.338 0.986
0.942 0.531 0.206
0.531 0.320 0.206
0.320 0.942 0.206
0.680 0.058 0.794
0.469 0.680 0.794
0.058 0.469 0.794
```

Calculated values
As for the uncorrected formation energy: -1.0213 eV/atom. The value obtained for the total magnetic moment is 0.000 μB/f.u.


The following is a meta-GGA SCAN calculation of a PBEsol-optimized structure of Ta2MoSe, from Alexandria.

Cell and atoms, written as POSCAR:
```
Ta2MoSe
1.0
-0.833 -3.113 -2.750
4.192 -0.258 2.285
0.257 -2.838 3.135
Mo Se Ta
1 1 2
direct
0.500 0.000 0.500
0.000 0.000 0.000
0.250 0.500 0.250
0.750 0.500 0.750
```

Calculated values
As for the uncorrected formation energy: 0.2691 eV/atom. The value obtained for the total magnetic moment is 0.000 μB/f.u.


The following is a meta-GGA SCAN calculation of a PBEsol-optimized structure of Zn4Cd5, from Alexandria.

Cell and atoms, written as POSCAR:
```
Zn4Cd5
1.0
4.173 0.000 0.000
2.087 6.237 0.000
2.087 0.000 6.237
Cd Zn
5 4
direct
0.000 0.000 0.000
0.670 0.660 0.000
0.330 0.000 0.340
0.670 0.000 0.660
0.330 0.340 0.000
0.650 0.350 0.350
0.350 0.650 0.650
0.000 0.350 0.650
0.000 0.650 0.350
```

Calculated values
The value obtained for the formation energy is 102 meV/atom. The value obtained for the total magnetic moment is 0.000 μB/f.u.


The following is a meta-GGA SCAN calculation of a PBEsol-optimized structure of CaMg2Tc, from Alexandria.

Cell and atoms, written as POSCAR:
```
CaMg2Tc
1.0
3.089 0.000 0.000
0.000 5.148 0.000
-1.545 -2.574 5.338
Ca Mg Tc
1 2 1
direct
0.000 0.500 0.000
0.788 0.788 0.576
0.212 0.212 0.424
0.500 0.000 0.000
```

Calculated values
The energy above the most stable polymorph in this dataset comes out at 58 meV per atom. The value obtained for the formation energy is 358 meV/atom. The value obtained for the total magnetic moment is 0.029 μB/f.u.